# 1
A geometry-optimized LiCrNi6 structure. Source: Alexandria, functional PBEsol.

a b c (Å): 5.9906 5.9906 9.8064
angles (deg): 90.00 90.00 109.41
Last column: magnetic moment on the atom in μB.
Element x y z (fractional)
1 Ni 0.3730 0.1211 0.6228  0.06
2 Li 0.5000 0.5000 0.7516  0.00
3 Ni 0.0000 0.0000 0.0000  0.18
4 Ni 0.2481 0.7519 0.2539  0.14
5 Ni 0.6270 0.8789 0.6228  0.06
6 Ni 0.8768 0.6290 0.8730  0.23
7 Ni 0.3710 0.1232 0.1270  0.23
8 Li 0.2486 0.7514 0.0000  0.00
9 Cr 0.7498 0.2502 0.5000  -0.41
10 Ni 0.6290 0.8768 0.1270  0.23
11 Ni 0.6270 0.8789 0.3772  0.06
12 Cr 0.2502 0.7498 0.5000  -0.41
13 Ni 0.3710 0.1232 0.8730  0.23
14 Cr 0.0000 0.0000 0.7599  -0.39
15 Ni 0.5000 0.5000 0.5000  0.06
16 Ni 0.1232 0.3710 0.1270  0.23
17 Ni 0.1232 0.3710 0.8730  0.23
18 Ni 0.3730 0.1211 0.3772  0.06
19 Ni 0.2481 0.7519 0.7461  0.14
20 Ni 0.7519 0.2481 0.2539  0.14
21 Ni 0.8789 0.6270 0.6228  0.06
22 Ni 0.8789 0.6270 0.3772  0.06
23 Ni 0.8768 0.6290 0.1270  0.23
24 Ni 0.0000 0.0000 0.5000  0.04
25 Ni 0.1211 0.3730 0.6228  0.06
26 Li 0.7514 0.2486 0.0000  0.00
27 Ni 0.7519 0.2481 0.7461  0.14
28 Li 0.5000 0.5000 0.2484  0.00
29 Ni 0.6290 0.8768 0.8730  0.23
30 Ni 0.5000 0.5000 0.0000  0.36
31 Ni 0.1211 0.3730 0.3772  0.06
32 Cr 0.0000 0.0000 0.2401  -0.39

**Uncorrected energy**: -197.02 eV per cell
**Space group**: Cmmm, No. 65
**V**: 332 Å³/cell
**Formation energy from the elements**: -0.013 eV per atom

# 2
A geometry-optimized LiCrNi2 structure. Source: Alexandria, functional PBEsol.

a b c (Å): 2.4050 4.2988 4.3501
angles (deg): 98.55 106.05 90.00
Element x y z (fractional)
1 Cr 0.4891 0.4600 0.9783
2 Ni 0.7420 0.2826 0.4841
3 Li 0.2585 0.7902 0.5169
4 Ni 0.0104 0.9672 0.0207

**Uncorrected energy**: -24.03 eV per cell
**Space group**: Cm, No. 8
**Relative energy among the computed polymorphs**: 0.0716 eV/atom
**V**: 43 Å³/cell
**Formation energy from the elements**: 0.123 eV per atom

# 3
A geometry-optimized Li2CrNi structure. Source: Alexandria, functional PBEsol.

a b c (Å): 3.4531 3.4531 4.2919
angles (deg): 90.00 90.00 90.00
Last column: magnetic moment on the atom in μB.
Element x y z (fractional)
1 Ni 0.5000 0.5000 0.5000  0.33
2 Cr 0.0000 0.0000 0.5000  3.07
3 Li 0.0000 0.5000 0.0000  -0.01
4 Li 0.5000 0.0000 0.0000  -0.01

**Uncorrected energy**: -18.77 eV per cell
**Space group**: P4/mmm, No. 123
**Relative energy among the computed polymorphs**: 0.0191 eV/atom
**V**: 51 Å³/cell
**Formation energy from the elements**: 0.391 eV per atom

# 4
A geometry-optimized Li2CrNiO4 structure. Source: Alexandria, functional PBEsol.

a b c (Å): 2.8651 4.9778 5.0214
angles (deg): 110.17 90.00 90.00
Last column: magnetic moment on the atom in μB.
Element x y z (fractional)
1 Li 0.5000 0.0000 0.5000  0.00
2 O 0.5000 0.2471 0.2177  0.06
3 Cr 0.5000 0.5000 0.0000  2.38
4 O 0.5000 0.7529 0.7823  0.06
5 Ni 0.0000 0.0000 0.0000  1.15
6 O 0.0000 0.2693 0.7647  0.10
7 O 0.0000 0.7307 0.2353  0.10
8 Li 0.0000 0.5000 0.5000  0.01

**Uncorrected energy**: -54.90 eV per cell
**Space group**: P2/m, No. 10
**V**: 67 Å³/cell
**Energy relative to the elements, uncorrected**: -1.70 eV/atom

# 5
A geometry-optimized Li2CrNiO4 structure. Source: Alexandria, functional PBEsol.

a b c (Å): 3.9584 3.9584 4.9998
angles (deg): 113.32 113.32 90.00
Last column: magnetic moment on the atom in μB.
Element x y z (fractional)
1 O 0.2327 0.2327 0.4654  0.02
2 Li 0.2500 0.7500 0.5000  0.00
3 O 0.5185 0.0185 0.0370  0.00
4 Cr 0.0000 0.0000 0.0000  2.46
5 O 0.7673 0.7673 0.5346  0.02
6 Ni 0.7500 0.2500 0.5000  0.05
7 Li 0.5000 0.5000 0.0000  0.00
8 O 0.9815 0.4815 0.9630  0.00

**Uncorrected energy**: -54.72 eV per cell
**Space group**: I-4m2, No. 119
**V**: 65 Å³/cell
**Energy relative to the elements, uncorrected**: -1.67 eV/atom

# 6
A geometry-optimized Li2Cr3NiO8 structure. Source: Alexandria, functional PBEsol.

a b c (Å): 5.7585 5.7585 5.7251
angles (deg): 59.81 59.81 60.00
Last column: magnetic moment on the atom in μB.
Element x y z (fractional)
1 Cr 0.5000 0.0000 0.0000  2.33
2 O 0.2885 0.7383 0.2349  0.01
3 O 0.2617 0.7115 0.7651  0.01
4 Cr 0.5000 0.5000 0.0000  2.33
5 O 0.7375 0.7375 0.7875  -0.02
6 O 0.2617 0.2617 0.7651  0.01
7 O 0.7383 0.7383 0.2349  0.01
8 Li 0.8740 0.8740 0.3779  0.00
9 O 0.2625 0.2625 0.2125  -0.02
10 Cr 0.0000 0.5000 0.0000  2.33
11 Ni 0.5000 0.5000 0.5000  0.71
12 O 0.7115 0.2617 0.7651  0.01
13 O 0.7383 0.2885 0.2349  0.01
14 Li 0.1260 0.1260 0.6221  0.00

**Uncorrected energy**: -107.90 eV per cell
**Space group**: R-3m, No. 166
**Relative energy among the computed polymorphs**: 0.0014 eV/atom
**V**: 134 Å³/cell
**Energy relative to the elements, uncorrected**: -1.79 eV/atom

# 7
A geometry-optimized Li2Cr3NiO8 structure. Source: Alexandria, functional PBEsol.

a b c (Å): 5.6852 5.6852 9.2548
angles (deg): 90.00 90.00 120.00
Last column: magnetic moment on the atom in μB.
Element x y z (fractional)
1 Cr 0.3435 0.1718 0.7878  2.19
2 Cr 0.8282 0.1718 0.7878  2.19
3 O 0.4796 0.9591 0.1603  0.04
4 O 0.1643 0.3287 0.8939  0.01
5 O 0.5204 0.4796 0.6603  0.04
6 O 0.8357 0.1643 0.3939  0.01
7 O 0.0409 0.5204 0.1603  0.04
8 Li 0.3333 0.6667 0.6088  0.01
9 O 0.0000 0.0000 0.6931  0.00
10 O 0.1643 0.8357 0.8939  0.01
11 O 0.9591 0.4796 0.6603  0.04
12 Cr 0.6565 0.8282 0.2878  2.19
13 Li 0.6667 0.3333 0.1088  0.01
14 Cr 0.1718 0.8282 0.2878  2.19
15 O 0.4796 0.5204 0.1603  0.04
16 Ni 0.6667 0.3333 0.5123  0.98
17 Cr 0.1718 0.3435 0.2878  2.19
18 O 0.3287 0.1643 0.3939  0.01
19 Li 0.0000 0.0000 0.5037  0.00
20 Li 0.0000 0.0000 0.0037  0.00
21 O 0.6713 0.8357 0.8939  0.01
22 Ni 0.3333 0.6667 0.0123  0.98
23 O 0.3333 0.6667 0.4021  0.02
24 O 0.0000 0.0000 0.1931  0.00
25 Cr 0.8282 0.6565 0.7878  2.19
26 O 0.5204 0.0409 0.6603  0.04
27 O 0.8357 0.6713 0.3939  0.01
28 O 0.6667 0.3333 0.9021  0.02

**Uncorrected energy**: -214.97 eV per cell
**Space group**: P6_3mc, No. 186
**Relative energy among the computed polymorphs**: 0.0311 eV/atom
**V**: 259 Å³/cell
**Energy relative to the elements, uncorrected**: -1.76 eV/atom

# 8
A geometry-optimized Li4Cr3NiO8 structure. Source: Alexandria, functional PBEsol.

a b c (Å): 5.0173 5.7637 5.7637
angles (deg): 119.98 106.71 73.29
Last column: magnetic moment on the atom in μB.
Element x y z (fractional)
1 Li 0.9946 0.2531 0.7469  0.00
2 O 0.2753 0.8707 0.1293  0.02
3 O 0.2729 0.3659 0.1183  0.07
4 Cr 0.5000 0.0000 0.5000  2.58
5 Li 0.0000 0.7427 0.7427  0.00
6 O 0.2729 0.8817 0.6341  0.07
7 Li 0.0054 0.7469 0.2531  0.00
8 Ni 0.5000 0.5000 0.5000  1.39
9 O 0.7247 0.1293 0.8707  0.02
10 Cr 0.5000 0.5000 0.0000  2.58
11 O 0.7271 0.1183 0.3659  0.07
12 Cr 0.5000 0.0000 0.0000  2.58
13 O 0.7271 0.6341 0.8817  0.07
14 O 0.7294 0.6335 0.3665  0.07
15 O 0.2706 0.3665 0.6335  0.07
16 Li 0.0000 0.2573 0.2573  0.00

**Uncorrected energy**: -116.73 eV per cell
**Space group**: C2/m, No. 12
**V**: 136 Å³/cell
**Energy relative to the elements, uncorrected**: -1.87 eV/atom

# 9
A geometry-optimized Li4Cr3NiO8 structure. Source: Alexandria, functional PBEsol.

a b c (Å): 4.9801 5.0285 5.7592
angles (deg): 90.00 90.00 109.37
Last column: magnetic moment on the atom in μB.
Element x y z (fractional)
1 O 0.2408 0.2227 0.5000  0.01
2 Li 0.5000 0.5000 0.2420  0.00
3 O 0.2313 0.2343 0.0000  0.10
4 Cr 0.0000 0.0000 0.2467  2.55
5 O 0.7592 0.7773 0.5000  0.01
6 O 0.7481 0.2270 0.7421  0.07
7 O 0.7481 0.2270 0.2579  0.07
8 O 0.2519 0.7730 0.2579  0.07
9 Cr 0.5000 0.0000 0.5000  2.55
10 Li 0.0000 0.5000 0.0000  0.00
11 Cr 0.0000 0.0000 0.7533  2.55
12 Ni 0.5000 0.0000 0.0000  1.45
13 O 0.7687 0.7657 0.0000  0.10
14 Li 0.5000 0.5000 0.7580  0.00
15 O 0.2519 0.7730 0.7421  0.07
16 Li 0.0000 0.5000 0.5000  0.01

**Uncorrected energy**: -116.75 eV per cell
**Space group**: P2/m, No. 10
**V**: 136 Å³/cell
**Energy relative to the elements, uncorrected**: -1.88 eV/atom

# 10
A geometry-optimized Li5Cr2Ni3O10 structure. Source: Alexandria, functional PBEsol.

a b c (Å): 4.9743 4.9904 7.5128
angles (deg): 70.74 70.40 80.55
Last column: magnetic moment on the atom in μB.
Element x y z (fractional)
1 O 0.7677 0.0613 0.1443  0.14
2 Cr 0.0093 0.8930 0.6953  2.26
3 Li 0.4936 0.4057 0.2070  0.00
4 O 0.2387 0.3340 0.0481  0.05
5 O 0.2241 0.5572 0.6629  -0.01
6 Li 0.5051 0.7880 0.4053  0.00
7 O 0.7759 0.4428 0.3371  -0.01
8 O 0.7640 0.2238 0.7660  0.03
9 Ni 0.5000 0.0000 0.0000  0.59
10 Ni 0.9995 0.3035 0.8982  0.73
11 Ni 0.0005 0.6965 0.1018  0.73
12 O 0.7706 0.8680 0.5470  0.02
13 Li 0.4949 0.2120 0.5947  0.00
14 Li 0.5064 0.5943 0.7930  0.00
15 O 0.2360 0.7762 0.2340  0.03
16 O 0.2294 0.1320 0.4530  0.02
17 Cr 0.9907 0.1070 0.3047  2.26
18 O 0.7613 0.6660 0.9519  0.05
19 Li 0.0000 0.5000 0.5000  0.00
20 O 0.2323 0.9387 0.8557  0.14

**Uncorrected energy**: -133.50 eV per cell
**Space group**: P-1, No. 2
**V**: 166 Å³/cell
**Energy relative to the elements, uncorrected**: -1.61 eV/atom

# 11
A geometry-optimized Li3CrNi2O6 structure. Source: Alexandria, functional PBEsol.

a b c (Å): 2.8460 5.7092 6.4799
angles (deg): 102.60 102.69 90.00
Last column: magnetic moment on the atom in μB.
Element x y z (fractional)
1 O 0.8297 0.9367 0.6594  0.18
2 O 0.5020 0.2702 0.0040  0.06
3 Ni 0.3343 0.1654 0.6685  0.94
4 Li 0.6702 0.3265 0.3405  0.01
5 O 0.8424 0.4037 0.6848  0.02
6 Cr 0.0000 0.5000 0.0000  2.36
7 Li 0.3298 0.6735 0.6595  0.01
8 Ni 0.6657 0.8346 0.3315  0.94
9 Li 0.0000 0.0000 0.0000  0.00
10 O 0.1576 0.5963 0.3152  0.02
11 O 0.1703 0.0633 0.3406  0.18
12 O 0.4980 0.7298 0.9960  0.06

**Uncorrected energy**: -78.69 eV per cell
**Space group**: C2/m, No. 12
**V**: 100 Å³/cell
**Energy relative to the elements, uncorrected**: -1.56 eV/atom

# 12
A geometry-optimized Li3CrNi3O8 structure. Source: Alexandria, functional PBEsol.

a b c (Å): 5.6340 5.7167 5.7136
angles (deg): 119.40 90.00 119.52
Last column: magnetic moment on the atom in μB.
Element x y z (fractional)
1 Ni 0.5000 0.5000 0.0000  0.95
2 O 0.7432 0.0017 0.7767  0.08
3 O 0.2568 0.9983 0.2233  0.08
4 Li 0.0000 0.5000 0.5000  0.01
5 O 0.7415 0.9983 0.2233  0.08
6 O 0.7289 0.4577 0.1985  0.06
7 O 0.2333 0.4667 0.2212  0.06
8 Ni 0.5000 0.0000 0.0000  0.11
9 O 0.2585 0.0017 0.7767  0.08
10 Li 0.5000 0.0000 0.5000  0.00
11 Li 0.5000 0.5000 0.5000  0.01
12 Cr 0.0000 0.0000 0.0000  2.20
13 Ni 0.0000 0.5000 0.0000  0.95
14 O 0.2711 0.5423 0.8015  0.06
15 O 0.7667 0.5333 0.7788  0.06

**Uncorrected energy**: -97.95 eV per cell
**Space group**: C2/m, No. 12
**V**: 132 Å³/cell
**Energy relative to the elements, uncorrected**: -1.42 eV/atom